1.
This record from Alexandria describes a relaxed structure of SrLa4Nd7. The functional is GGA-PBE.

```
SrLa4Nd7
1.0
6.518 0.000 0.000
0.007 7.532 0.000
2.175 0.032 9.069
Sr La Nd
1 4 7
direct
0.000 0.000 0.000 Sr
0.217 0.501 0.327 La
0.285 0.258 0.664 La
0.715 0.742 0.336 La
0.783 0.499 0.673 La
0.000 0.500 0.000 Nd
0.231 0.000 0.343 Nd
0.282 0.742 0.665 Nd
0.499 0.743 0.999 Nd
0.501 0.257 0.001 Nd
0.718 0.258 0.335 Nd
0.769 0.000 0.657 Nd
```

Values from the calculation:
ΔH_f (0 K)   0.053 eV per atom

2.
This record from Alexandria describes a relaxed structure of La2Nd5Ho12. The functional is GGA-PBE.

```
La2Nd5Ho12
1.0
7.861 -4.674 0.000
7.861 4.674 0.000
-0.293 0.000 8.675
La Nd Ho
2 5 12
direct
0.179 0.821 0.000 La
0.821 0.179 0.000 La
0.205 0.205 0.016 Nd
0.270 0.270 0.427 Nd
0.500 0.500 0.500 Nd
0.730 0.730 0.573 Nd
0.795 0.795 0.984 Nd
0.058 0.058 0.334 Ho
0.060 0.683 0.341 Ho
0.172 0.527 0.757 Ho
0.317 0.940 0.659 Ho
0.419 0.419 0.123 Ho
0.473 0.828 0.243 Ho
0.527 0.172 0.757 Ho
0.581 0.581 0.877 Ho
0.683 0.060 0.341 Ho
0.828 0.473 0.243 Ho
0.940 0.317 0.659 Ho
0.942 0.942 0.666 Ho
```

Values from the calculation:
ΔH_f (0 K)   0.133 eV per atom
Excess energy over the best structure of this formula in the dataset   5.1 kJ/mol of atoms

3.
This record from Alexandria describes a relaxed structure of Sm2NiSn3Pt4. The functional is GGA-PBE.

```
Sm2NiSn3Pt4
1.0
4.189 0.000 0.000
0.000 4.189 0.000
0.000 0.000 11.996
Sm Ni Sn Pt
2 1 3 4
direct
0.000 0.500 0.225 Sm
0.500 0.000 0.775 Sm
0.500 0.500 0.000 Ni
0.000 0.000 0.000 Sn
0.000 0.500 0.639 Sn
0.500 0.000 0.361 Sn
0.000 0.000 0.500 Pt
0.000 0.500 0.857 Pt
0.500 0.000 0.143 Pt
0.500 0.500 0.500 Pt
```

Values from the calculation:
ΔH_f (0 K)   -0.723 eV per atom

4.
This record from Alexandria describes a relaxed structure of Co3Mo. The functional is GGA-PBE.

```
Co3Mo
1.0
3.591 0.000 0.000
0.000 3.591 0.000
0.000 0.000 3.591
Co Mo
3 1
direct
0.000 0.000 0.500 Co
0.000 0.500 0.000 Co
0.500 0.000 0.000 Co
0.500 0.500 0.500 Mo
```

Values from the calculation:
ΔH_f (0 K)   -0.003 eV per atom

5.
This record from Alexandria describes a relaxed structure of AlHPd3. The functional is GGA-PBE.

```
AlHPd3
1.0
4.740 -2.005 0.000
4.740 2.005 0.000
-3.140 0.000 6.576
Al H Pd
2 2 6
direct
0.116 0.116 0.428 Al
0.884 0.884 0.572 Al
0.351 0.351 0.022 H
0.649 0.649 0.978 H
0.127 0.127 0.929 Pd
0.355 0.355 0.343 Pd
0.385 0.385 0.783 Pd
0.615 0.615 0.217 Pd
0.645 0.645 0.657 Pd
0.873 0.873 0.071 Pd
```

Values from the calculation:
Excess energy over the best structure of this formula in the dataset   8.4 kJ/mol of atoms

6.
This record from Alexandria describes a relaxed structure of SrTl2Ru. The functional is GGA-PBE.

```
SrTl2Ru
1.0
4.079 -2.349 0.000
4.079 2.349 0.000
-2.721 0.000 5.793
Sr Tl Ru
1 2 1
direct
0.000 0.000 0.000 Sr
0.211 0.211 0.633 Tl
0.446 0.446 0.340 Tl
0.815 0.815 0.447 Ru
```

Values from the calculation:
ΔH_f (0 K)   0.140 eV per atom

Number 1: magnetic moment 0.0 μB/f.u., calculated density 6.166 Mg/m³. Number 2: magnetic moment 0.0 μB/f.u., calculated density 7.758 Mg/m³. Number 3: magnetic moment 0.0 μB/f.u., calculated density 11.798 Mg/m³. Number 4: magnetic moment 0.5 μB/f.u., calculated density 9.779 Mg/m³. Number 5: magnetic moment 0.0 μB/f.u., calculated density 9.226 Mg/m³. Number 6: magnetic moment 0.0 μB/f.u., calculated density 8.936 Mg/m³.